A plane-wave DFT calculation with PBE was carried out for TlCuTe3Pd after structural relaxation.

a = 4.3026 Å, b = 10.8308 Å, c = 13.4498 Å
α = 90.00°, β = 90.00°, γ = 90.00°
Sites, in units of the cell vectors:
1 Te 0.2500 0.7227 0.5325
2 Te 0.2500 0.7773 0.0325
3 Te 0.7500 0.0248 0.6216
4 Te 0.2500 0.5248 0.8784
5 Te 0.7500 0.4752 0.1216
6 Te 0.7500 0.2773 0.4675
7 Te 0.7500 0.2227 0.9675
8 Te 0.2500 0.9752 0.3784
9 Te 0.7500 0.6978 0.2954
10 Te 0.2500 0.3022 0.7046
11 Te 0.2500 0.1978 0.2046
12 Te 0.7500 0.8022 0.7954
13 Pd 0.2500 0.3512 0.0391
14 Pd 0.2500 0.1488 0.5391
15 Pd 0.7500 0.6488 0.9609
16 Pd 0.7500 0.8512 0.4609
17 Cu 0.2500 0.7065 0.7235
18 Cu 0.7500 0.2935 0.2765
19 Cu 0.7500 0.2065 0.7765
20 Cu 0.2500 0.7935 0.2235
21 Tl 0.7500 0.5188 0.6357
22 Tl 0.7500 0.9812 0.1357
23 Tl 0.2500 0.0188 0.8643
24 Tl 0.2500 0.4812 0.3643

Calculated values
The space-group type is Pnma, No. 62. The energy above the most stable polymorph in this dataset comes out at 0.019 eV per atom.


A plane-wave DFT calculation with PBE was carried out for PaAl3Co after structural relaxation.

a = 8.0940 Å, b = 3.9649 Å, c = 10.6587 Å
α = 90.00°, β = 90.00°, γ = 90.00°
Sites, in units of the cell vectors:
1 Co 0.1278 0.2500 0.6364
2 Co 0.6278 0.2500 0.8636
3 Co 0.8722 0.7500 0.3636
4 Co 0.3722 0.7500 0.1364
5 Al 0.5994 0.7500 0.2788
6 Al 0.0505 0.2500 0.4157
7 Al 0.1497 0.7500 0.7804
8 Al 0.4006 0.2500 0.7212
9 Al 0.8503 0.2500 0.2196
10 Al 0.9495 0.7500 0.5843
11 Al 0.0994 0.7500 0.2212
12 Al 0.4495 0.7500 0.9157
13 Al 0.5505 0.2500 0.0843
14 Al 0.9006 0.2500 0.7788
15 Al 0.3502 0.2500 0.2804
16 Al 0.6498 0.7500 0.7196
17 Pa 0.3192 0.7500 0.5014
18 Pa 0.1808 0.2500 0.0014
19 Pa 0.8192 0.7500 0.9986
20 Pa 0.6808 0.2500 0.4986

Calculated values
The space-group type is Pnma, No. 62. The calculation puts the total energy at -6.00 eV/atom.


A plane-wave DFT calculation with PBE was carried out for NdBPt after structural relaxation.

a = 4.2990 Å, b = 4.2990 Å, c = 4.2990 Å
α = 60.00°, β = 60.00°, γ = 60.00°
Sites, in units of the cell vectors:
1 B 0.0000 0.0000 0.0000
2 Nd 0.2500 0.2500 0.2500
3 Pt 0.7500 0.7500 0.7500

Calculated values
The space-group type is F-43m, No. 216. The energy above the most stable polymorph in this dataset comes out at 0.000 eV per atom.


A plane-wave DFT calculation with PBE was carried out for Be2IrPt after structural relaxation.

a = 3.9872 Å, b = 5.6344 Å, c = 11.9591 Å
α = 90.00°, β = 90.00°, γ = 90.00°
Sites, in units of the cell vectors:
1 Ir 0.5000 0.5000 0.5000
2 Ir 0.0004 0.0000 0.3333
3 Ir 0.9996 0.0000 0.6667
4 Ir 0.4996 0.5000 0.8333
5 Ir 0.5004 0.5000 0.1667
6 Ir 0.0000 0.0000 0.0000
7 Pt 0.4996 0.0000 0.8333
8 Pt 0.0004 0.5000 0.3333
9 Pt 0.0000 0.5000 0.0000
10 Pt 0.5004 0.0000 0.1667
11 Pt 0.5000 0.0000 0.5000
12 Pt 0.9996 0.5000 0.6667
13 Be 0.5000 0.7499 0.0000
14 Be 0.5006 0.7499 0.3333
15 Be 0.0000 0.7501 0.5000
16 Be 0.4994 0.2501 0.6667
17 Be 0.9994 0.2499 0.8333
18 Be 0.0006 0.2499 0.1667
19 Be 0.9994 0.7501 0.8333
20 Be 0.4994 0.7499 0.6667
21 Be 0.5006 0.2501 0.3333
22 Be 0.5000 0.2501 0.0000
23 Be 0.0006 0.7501 0.1667
24 Be 0.0000 0.2499 0.5000

Calculated values
The space-group type is Fm-3m, No. 225. The energy above the most stable polymorph in this dataset comes out at 0.000 eV per atom.


A plane-wave DFT calculation with PBE was carried out for Na3Zr4 after structural relaxation.

a = 8.5770 Å, b = 8.5759 Å, c = 5.4382 Å
α = 90.00°, β = 90.00°, γ = 59.97°
Sites, in units of the cell vectors:
1 Zr 0.5933 0.1333 0.0000
2 Zr 0.9876 0.0219 0.0000
3 Zr 0.5362 0.3589 0.5000
4 Zr 0.4284 0.8571 0.0000
5 Zr 0.7045 0.4163 0.0000
6 Zr 0.0953 0.5239 0.5000
7 Zr 0.8194 0.9646 0.5000
8 Zr 0.9304 0.2477 0.5000
9 Na 0.2774 0.5779 0.0000
10 Na 0.6651 0.6749 0.5000
11 Na 0.3745 0.0936 0.5000
12 Na 0.1492 0.2876 0.0000
13 Na 0.8588 0.7061 0.0000
14 Na 0.2464 0.8029 0.5000

Calculated values
The space-group type is P6_3/m, No. 176. The energy above the most stable polymorph in this dataset comes out at 0.288 eV per atom.


A plane-wave DFT calculation with PBE was carried out for HgAuNO after structural relaxation.

a = 6.9969 Å, b = 6.9969 Å, c = 3.7462 Å
α = 95.68°, β = 95.68°, γ = 114.47°
Sites, in units of the cell vectors:
1 Hg 0.6604 0.1835 0.3650
2 Hg 0.1835 0.6604 0.3650
3 O 0.8575 0.4930 0.3169
4 O 0.4930 0.8575 0.3169
5 N 0.2042 0.2042 0.9888
6 N 0.7014 0.7014 0.8298
7 Au 0.6940 0.6940 0.3269
8 Au 0.2061 0.2061 0.4906

Calculated values
The space-group type is Cm, No. 8. The energy above the most stable polymorph in this dataset comes out at 0.148 eV per atom.


A plane-wave DFT calculation with PBE was carried out for DyBeNO after structural relaxation.

a = 4.7956 Å, b = 5.0374 Å, c = 6.9393 Å
α = 90.00°, β = 90.00°, γ = 90.00°
Sites, in units of the cell vectors:
1 O 0.6712 0.6403 0.4615
2 O 0.1712 0.3597 0.5385
3 O 0.1712 0.8597 0.4615
4 O 0.6712 0.1403 0.5385
5 Be 0.5052 0.9268 0.4057
6 Be 0.0052 0.5732 0.4057
7 Be 0.0052 0.0732 0.5943
8 Be 0.5052 0.4268 0.5943
9 Dy 0.5103 0.4827 0.1707
10 Dy 0.0103 0.5173 0.8293
11 Dy 0.5103 0.9827 0.8293
12 Dy 0.0103 0.0173 0.1707
13 N 0.0157 0.9996 0.8402
14 N 0.0157 0.4996 0.1598
15 N 0.5157 0.5004 0.8402
16 N 0.5157 0.0004 0.1598

Calculated values
The space-group type is Pca2_1, No. 29. The energy above the most stable polymorph in this dataset comes out at 0.000 eV per atom.


A plane-wave DFT calculation with PBE was carried out for GaNiPtW after structural relaxation.

a = 4.3468 Å, b = 4.3468 Å, c = 4.3468 Å
α = 60.00°, β = 60.00°, γ = 60.00°
Sites, in units of the cell vectors:
1 Ni 0.7500 0.7500 0.7500
2 Pt 0.2500 0.2500 0.2500
3 Ga 0.0000 0.0000 0.0000
4 W 0.5000 0.5000 0.5000

Calculated values
The space-group type is F-43m, No. 216. The calculation puts the total energy at -6.89 eV/atom.


A plane-wave DFT calculation with PBE was carried out for GdSbPd after structural relaxation.

a = 4.6004 Å, b = 4.6004 Å, c = 7.4244 Å
α = 90.00°, β = 90.00°, γ = 120.00°
Sites, in units of the cell vectors:
1 Gd 0.0000 0.0000 0.7326
2 Gd 0.0000 0.0000 0.2326
3 Pd 0.6667 0.3333 0.5582
4 Pd 0.3333 0.6667 0.0582
5 Sb 0.6667 0.3333 0.9592
6 Sb 0.3333 0.6667 0.4592

Calculated values
The space-group type is P6_3mc, No. 186. The calculation puts the total energy at -5.74 eV/atom.


A plane-wave DFT calculation with PBE was carried out for YErFe2Ge2C after structural relaxation.

a = 5.6940 Å, b = 5.6940 Å, c = 6.8052 Å
α = 125.90°, β = 125.90°, γ = 40.69°
Sites, in units of the cell vectors:
1 Y 0.4415 0.4415 0.7096
2 Er 0.5571 0.5571 0.2876
3 Ge 0.1624 0.1624 0.7085
4 Ge 0.8372 0.8372 0.2903
5 Fe 0.8047 0.8047 0.9113
6 Fe 0.1961 0.1961 0.0899
7 C 0.0010 0.0010 0.0027

Calculated values
The space-group type is Cm, No. 8. The calculation puts the total energy at -7.20 eV/atom.


A plane-wave DFT calculation with PBE was carried out for CsGeAu after structural relaxation.

a = 5.5901 Å, b = 5.5901 Å, c = 5.5901 Å
α = 60.00°, β = 60.00°, γ = 60.00°
Sites, in units of the cell vectors:
1 Cs 0.0000 0.0000 0.0000
2 Au 0.2500 0.2500 0.2500
3 Ge 0.7500 0.7500 0.7500

Calculated values
The space-group type is F-43m, No. 216. The energy above the most stable polymorph in this dataset comes out at 0.466 eV per atom.


A plane-wave DFT calculation with PBE was carried out for Cd2AgOs after structural relaxation.

a = 4.6494 Å, b = 4.6494 Å, c = 4.6494 Å
α = 60.00°, β = 60.00°, γ = 60.00°
Sites, in units of the cell vectors:
1 Ag 0.5000 0.5000 0.5000
2 Cd 0.2500 0.2500 0.2500
3 Cd 0.0000 0.0000 0.0000
4 Os 0.7500 0.7500 0.7500

Calculated values
The space-group type is F-43m, No. 216. The value obtained for the energy of formation is 0.623 eV per atom.